SmPu2Te4 | PBE | optimized geometry

Energy in eV per atom: -7.70
Total magnetization in μB per atom: 1.573
Energy above the most stable polymorph in this dataset in kJ/mol of formula units: 9
D(E_F) in states/eV per atom: 3.63

Lattice parameters (Å, degrees): 4.453 8.563 7.798 63.89 89.99 74.92
Last column: magnetic moment on the atom in μB.
Positions (direct):
Te 0.123 0.755 0.444  -0.09
Te 0.368 0.265 0.019  -0.07
Te 0.877 0.245 0.556  -0.09
Te 0.632 0.735 0.981  -0.07
Pu 0.263 0.474 0.273  5.38
Pu 0.737 0.526 0.727  5.38
Sm 0.000 0.000 0.000  0.11


GaCuPt | PBE | optimized geometry

Energy in eV per atom: -4.68
Total magnetization in μB per atom: 0.000
Energy above the most stable polymorph in this dataset in kJ/mol of formula units: 19
D(E_F) in states/eV per atom: 0.30

Lattice parameters (Å, degrees): 4.174 4.174 4.174 60.00 60.00 60.00
Positions (direct):
Pt 0.250 0.250 0.250
Cu 0.500 0.500 0.500
Ga 0.000 0.000 0.000


Ho3Tm3Pu | PBE | optimized geometry

Energy in eV per atom: -5.39
Total magnetization in μB per atom: 0.003
D(E_F) in states/eV per atom: 2.68

Lattice parameters (Å, degrees): 13.963 13.963 13.963 24.89 24.89 24.89
Last column: magnetic moment on the atom in μB.
Positions (direct):
Tm 0.062 0.397 0.726  0.05
Tm 0.397 0.726 0.062  0.05
Tm 0.938 0.603 0.274  0.05
Tm 0.726 0.062 0.397  0.05
Tm 0.603 0.274 0.938  0.05
Tm 0.274 0.938 0.603  0.05
Ho 0.800 0.463 0.132  0.03
Ho 0.868 0.200 0.537  0.03
Ho 0.200 0.537 0.868  0.03
Ho 0.463 0.132 0.800  0.03
Ho 0.132 0.800 0.463  0.03
Ho 0.537 0.868 0.200  0.03
Pu 0.333 0.333 0.333  -0.19
Pu 0.667 0.667 0.667  -0.19


TlAg2PdCl6 | PBE | optimized geometry

Energy in eV per atom: -2.95
Total magnetization in μB per atom: 0.097
D(E_F) in states/eV per atom: 0.12

Lattice parameters (Å, degrees): 7.352 7.021 8.077 59.22 54.30 55.16
Last column: magnetic moment on the atom in μB.
Positions (direct):
Cl 0.716 0.135 0.788  0.03
Cl 0.358 0.700 0.824  0.02
Cl 0.555 0.234 0.239  0.11
Cl 0.271 0.951 0.225  0.02
Cl 0.932 0.528 0.261  0.02
Cl 0.172 0.397 0.763  0.14
Ag 0.991 0.071 0.947  0.01
Ag 0.533 0.506 0.384  0.03
Pd 0.323 0.323 0.027  0.47
Tl 0.811 0.816 0.556  0.02


Zr2Re2W | PBE | optimized geometry

Energy in eV per atom: -10.91
Total magnetization in μB per atom: 0.000
D(E_F) in states/eV per atom: 0.94

Lattice parameters (Å, degrees): 6.563 6.563 4.506 90.00 90.00 90.00
Positions (direct):
Re 0.866 0.634 0.000
Re 0.134 0.366 0.000
Re 0.366 0.866 0.000
Re 0.634 0.134 0.000
W 0.000 0.000 0.000
W 0.500 0.500 0.000
Zr 0.680 0.820 0.500
Zr 0.180 0.680 0.500
Zr 0.820 0.320 0.500
Zr 0.320 0.180 0.500


CaLa2CoC2 | PBE | optimized geometry

Energy in eV per atom: -6.14
Total magnetization in μB per atom: 0.109
D(E_F) in states/eV per atom: 0.77

Lattice parameters (Å, degrees): 3.992 5.886 10.893 90.00 90.00 90.00
Last column: magnetic moment on the atom in μB.
Positions (direct):
La 0.500 0.029 0.198  -0.01
La 0.000 0.471 0.698  -0.01
La 0.000 0.529 0.302  -0.01
La 0.500 0.971 0.802  -0.01
C 0.500 0.743 0.389  0.03
C 0.000 0.243 0.111  0.03
C 0.500 0.257 0.611  0.03
C 0.000 0.757 0.889  0.03
Co 0.000 0.000 0.000  0.61
Co 0.500 0.500 0.500  0.61
Ca 0.500 0.500 0.000  0.00
Ca 0.000 0.000 0.500  0.00


LaSi2Te | PBE | optimized geometry

Energy in eV per atom: -5.01
Total magnetization in μB per atom: 0.000
D(E_F) in states/eV per atom: 0.44

Lattice parameters (Å, degrees): 4.106 4.470 6.014 76.50 90.00 90.00
Positions (direct):
Si 0.000 0.138 0.943
Si 0.000 0.362 0.557
Te 0.500 0.250 0.250
La 0.500 0.750 0.750


La3Pr6Sm2 | PBE | optimized geometry

Energy in eV per atom: -4.79
Total magnetization in μB per atom: 0.000
Energy above the most stable polymorph in this dataset in kJ/mol of formula units: 0
D(E_F) in states/eV per atom: 1.80

Lattice parameters (Å, degrees): 6.422 6.409 14.395 58.53 53.42 80.35
Positions (direct):
Pr 0.725 0.088 0.820
Pr 0.817 0.726 0.546
Pr 0.088 0.634 0.729
Pr 0.912 0.366 0.271
Pr 0.275 0.912 0.180
Pr 0.183 0.274 0.454
Sm 0.638 0.456 0.090
Sm 0.362 0.544 0.910
La 0.548 0.820 0.362
La 0.452 0.180 0.638
La 0.000 0.000 0.000


BaB3Te | PBE | optimized geometry

Energy in eV per atom: -3.48
Total magnetization in μB per atom: 0.000
Energy above the most stable polymorph in this dataset in kJ/mol of formula units: 0
D(E_F) in states/eV per atom: 0.51

Lattice parameters (Å, degrees): 4.648 4.648 4.648 90.00 90.00 90.00
Positions (direct):
Te 0.000 0.000 0.000
B 0.000 0.000 0.500
B 0.000 0.500 0.000
B 0.500 0.000 0.000
Ba 0.500 0.500 0.500


Question: Among the records above, which one has the lowest D(E_F)?
Answer: TlAg2PdCl6


Question: D(E_F) of number 1 (SmPu2Te4)?
Answer: 3.63 states/eV per atom


Question: Which formula does entry 4 have?
Answer: TlAg2PdCl6


Question: Number 9 is which compound?
Answer: BaB3Te